Material: Ac2Pm8Pr3
Method: DFT, GGA-PBE
State: optimized geometry

## Properties
Energy above the most stable polymorph in this dataset: 89 meV per atom
SG: R-3m
Energy of formation from the pure elements: 256 meV/atom

abc: 6.754 6.754 13.109
angles: 75.07 75.07 60.00
Atoms (fractional coordinates):
Pr 0.000 0.000 0.000
Pr 0.812 0.812 0.563
Pr 0.188 0.188 0.437
Pm 0.721 0.721 0.336
Pm 0.727 0.727 0.818
Pm 0.273 0.273 0.182
Pm 0.279 0.279 0.664
Pm 0.279 0.778 0.664
Pm 0.778 0.279 0.664
Pm 0.222 0.721 0.336
Pm 0.721 0.222 0.336
Ac 0.639 0.639 0.082
Ac 0.361 0.361 0.918

=====

Material: Ni4MoIr
Method: DFT, GGA-PBE
State: optimized geometry

## Properties
Energy above the most stable polymorph in this dataset: 32 meV per atom
SG: F-43m
Energy of formation from the pure elements: -71 meV/atom

abc: 4.674 4.674 4.674
angles: 60.00 60.00 60.00
Atoms (fractional coordinates):
Ni 0.125 0.625 0.625
Ni 0.625 0.625 0.625
Ni 0.625 0.125 0.625
Ni 0.625 0.625 0.125
Ir 0.250 0.250 0.250
Mo 0.000 0.000 0.000

=====

Material: MnBr
Method: DFT, GGA-PBE
State: optimized geometry

## Properties
Raw formation energy: 244 meV per atom
SG: P4mm

abc: 3.797 3.797 3.454
angles: 90.00 90.00 90.00
Atoms (fractional coordinates):
Mn 0.500 0.500 0.042
Br 0.000 0.000 0.047

=====

Material: Na5CdTeO2
Method: DFT, GGA-PBE
State: optimized geometry

## Properties
Raw formation energy: -985 meV per atom
SG: P4/mmm

abc: 4.731 4.731 9.318
angles: 90.00 90.00 90.00
Atoms (fractional coordinates):
O 0.000 0.000 0.227
O 0.000 0.000 0.773
Na 0.000 0.000 0.500
Na 0.500 0.000 0.262
Na 0.000 0.500 0.738
Na 0.500 0.000 0.738
Na 0.000 0.500 0.262
Te 0.500 0.500 0.500
Cd 0.000 0.000 0.000

=====

Material: HfOsPb3
Method: DFT, GGA-PBE
State: optimized geometry

## Properties
Energy above the most stable polymorph in this dataset: 587 meV per atom
SG: Pm-3m
Energy of formation from the pure elements: 1645 meV/atom

abc: 5.562 5.562 5.562
angles: 90.00 90.00 90.00
Atoms (fractional coordinates):
Pb 0.000 0.500 0.000
Pb 0.000 0.000 0.500
Pb 0.500 0.000 0.000
Hf 0.000 0.000 0.000
Os 0.500 0.500 0.500

=====

Material: TlSn4Au
Method: DFT, GGA-PBE
State: optimized geometry

## Properties
Energy above the most stable polymorph in this dataset: 0 meV per atom
SG: P-1
Energy of formation from the pure elements: -15 meV/atom

abc: 6.626 7.041 8.123
angles: 104.58 111.11 91.80
Atoms (fractional coordinates):
Tl 0.010 0.252 0.999
Tl 0.990 0.748 0.001
Au 0.500 0.000 0.500
Au 0.000 0.500 0.500
Sn 0.382 0.562 0.821
Sn 0.410 0.080 0.827
Sn 0.676 0.396 0.618
Sn 0.590 0.920 0.173
Sn 0.921 0.889 0.612
Sn 0.324 0.604 0.382
Sn 0.618 0.438 0.179
Sn 0.079 0.111 0.388

=====

Material: LaEr2Tl3Se6
Method: DFT, GGA-PBE
State: optimized geometry

## Properties
Raw formation energy: -1402 meV per atom
SG: C2/m

abc: 7.350 7.350 8.130
angles: 98.68 98.68 119.95
Atoms (fractional coordinates):
Se 0.720 0.720 0.203
Se 0.069 0.416 0.206
Se 0.280 0.280 0.797
Se 0.584 0.931 0.794
Se 0.416 0.069 0.206
Se 0.931 0.584 0.794
Tl 0.500 0.500 0.500
Tl 0.836 0.164 0.500
Tl 0.164 0.836 0.500
Er 0.667 0.333 0.000
Er 0.333 0.667 0.000
La 0.000 0.000 0.000

=====

Material: CaTmAlPd
Method: DFT, GGA-PBE
State: optimized geometry

## Properties
SG: F-43m
Energy of formation from the pure elements: -483 meV/atom

abc: 5.038 5.038 5.038
angles: 60.00 60.00 60.00
Atoms (fractional coordinates):
Ca 0.250 0.250 0.250
Al 0.500 0.500 0.500
Tm 0.750 0.750 0.750
Pd 0.000 0.000 0.000

=====

Material: NaNdEr4Se8
Method: DFT, GGA-PBE
State: optimized geometry

## Properties
Raw formation energy: -1755 meV per atom
SG: R3m

abc: 8.404 8.404 8.515
angles: 60.43 60.43 60.00
Atoms (fractional coordinates):
Er 0.005 0.005 0.505
Er 0.005 0.485 0.505
Er 0.626 0.626 0.121
Er 0.485 0.005 0.505
Se 0.758 0.758 0.725
Se 0.246 0.246 0.729
Se 0.239 0.239 0.283
Se 0.752 0.230 0.267
Se 0.752 0.752 0.267
Se 0.246 0.778 0.729
Se 0.778 0.246 0.729
Se 0.230 0.752 0.267
Nd 0.005 0.005 0.986
Na 0.372 0.372 0.883

=====

Material: HoSb6Pd12
Method: DFT, GGA-PBE
State: optimized geometry

## Properties
Raw formation energy: -371 meV per atom
SG: R-3m

abc: 7.605 7.605 7.605
angles: 105.55 105.55 105.55
Atoms (fractional coordinates):
Sb 0.266 0.266 0.675
Sb 0.325 0.734 0.734
Sb 0.734 0.734 0.325
Sb 0.734 0.325 0.734
Sb 0.266 0.675 0.266
Sb 0.675 0.266 0.266
Pd 0.122 0.500 0.878
Pd 0.878 0.122 0.500
Pd 0.500 0.878 0.122
Pd 0.650 0.650 0.888
Pd 0.112 0.350 0.350
Pd 0.888 0.650 0.650
Pd 0.650 0.888 0.650
Pd 0.878 0.500 0.122
Pd 0.500 0.122 0.878
Pd 0.122 0.878 0.500
Pd 0.350 0.112 0.350
Pd 0.350 0.350 0.112
Ho 0.000 0.000 0.000

=====

Material: SrRuF3
Method: DFT, GGA-PBE
State: optimized geometry

## Properties
Raw formation energy: -1671 meV per atom
Energy above the most stable polymorph in this dataset: 33 meV per atom
SG: Pm-3m

abc: 4.702 4.702 4.702
angles: 90.00 90.00 90.00
Atoms (fractional coordinates):
F 0.000 0.500 0.000
F 0.000 0.000 0.500
F 0.500 0.000 0.000
Ru 0.500 0.500 0.500
Sr 0.000 0.000 0.000

=====

Material: TaNiHRu2
Method: DFT, GGA-PBE
State: optimized geometry

## Properties
Energy above the most stable polymorph in this dataset: 114 meV per atom
SG: P4/mmm

abc: 3.871 3.871 3.940
angles: 90.00 90.00 90.00
Atoms (fractional coordinates):
Ni 0.500 0.500 0.500
H 0.000 0.000 0.000
Ta 0.000 0.000 0.500
Ru 0.000 0.500 0.000
Ru 0.500 0.000 0.000

=====

Results for electronic total energy: -57.2, -43.2, -10.4, -29.4, -24.1, -43.5, -58.9, -17.3, -76.8, -98.7, -24.9, -40.3 (in eV/cell, following the order of the records).
Results for Fermi-level density of states: 22.208, 7.287, 1.396, 2.861, 13.568, 5.471, 0.000, 1.798, 0.000, 9.793, 5.023, 2.780 (in states/eV per cell, following the order of the records).